Density functional theory data (PBE) for PRuRh2 after structural relaxation.

Its total energy is -59.08 eV per cell. Its formation energy is -0.038 eV per atom. The calculated volume comes out at 108 Å³ per cell.

It has space group I-4m2 (No. 119), with a = 3.8935 Å, b = 3.8935 Å, c = 7.1371 Å, α = 90.00°, β = 90.00° and γ = 90.00°. The distinct sites, in fractional coordinates, are P at (0.0000, 0.0000, 0.0000), Ru at (0.0000, 0.5000, 0.2500), Rh at (0.0000, 0.0000, 0.5000) and Rh at (0.0000, 0.5000, 0.7500).